[1]
The following is a GGA-PBE calculation of Ag2BiTe2 after structural relaxation, from the Alexandria database.

abc: 8.0757 8.0757 3.8823
angles: 90.00 90.00 90.00
Closest atoms and distances in Å follow each position.
Space group P4/mbm (No. 127)
Unique sites:
Ag1 0.1236 0.3764 0.0000 x4  1 Ag 2.82, 6 Te 2.97-3.16
Bi1 0.0000 0.0000 0.0000 x2  4 Ag 3.20, 8 Te 3.54
Te1 0.1799 0.6799 0.5000 x4  6 Ag 2.97-3.16

- Total moment: 0.0000 μB per atom
- Formation energy (no corrections): 0.112 eV per atom
- DOS(E_F): 0.52 states/eV per atom

[2]
The following is a GGA-PBE calculation of Ag5BiTe4 after structural relaxation, from the Alexandria database.

abc: 9.5145 10.3731 5.4935
angles: 90.00 90.00 90.00
Closest atoms and distances in Å follow each position.
Space group Pmmn (No. 59, origin choice 2)
Unique sites:
Ag1 0.0602 0.0011 0.2450 x8  4 Te 2.80-3.10, 2 Ag 2.93-3.03
Ag2 0.2500 0.2500 0.2217 x2  4 Te 2.94-2.99, 4 Ag 3.15
Bi1 0.2500 0.7500 0.6160 x2  4 Te 2.99-3.16
Te1 0.0301 0.7500 0.0036 x4  5 Ag 2.94-3.04, 1 Bi 2.99
Te2 0.2500 0.0542 0.6211 x4  5 Ag 2.80-3.10

- Total moment: 0.0000 μB per atom
- Formation energy (no corrections): -0.058 eV per atom
- DOS(E_F): 0.09 states/eV per atom

[3]
The following is a GGA-PBE calculation of Ag3BiTe after structural relaxation, from the Alexandria database.

abc: 5.3332 5.3332 5.3332
angles: 90.00 90.00 90.00
Closest atoms and distances in Å follow each position.
Space group Pm-3m (No. 221)
Unique sites:
Ag1 0.0000 0.0000 0.5000 x3  2 Te 2.67
Bi1 0.5000 0.5000 0.5000 x1  12 Ag 3.77
Te1 0.0000 0.0000 0.0000 x1  6 Ag 2.67

- Total moment: 0.2576 μB per atom
- Formation energy (no corrections): 0.519 eV per atom
- DOS(E_F): 0.82 states/eV per atom

[4]
The following is a GGA-PBE calculation of AgBi3Te after structural relaxation, from the Alexandria database.

abc: 5.5249 5.5249 5.5249
angles: 90.00 90.00 90.00
Closest atoms and distances in Å follow each position.
Space group Pm-3m (No. 221)
Unique sites:
Ag1 0.0000 0.0000 0.0000 x1  6 Bi 2.76
Bi1 0.0000 0.0000 0.5000 x3  2 Ag 2.76
Te1 0.5000 0.5000 0.5000 x1  12 Bi 3.91

- Total moment: 0.0000 μB per atom
- Formation energy (no corrections): 0.549 eV per atom
- DOS(E_F): 1.48 states/eV per atom

[5]
The following is a GGA-PBE calculation of Ag2Bi2Te after structural relaxation, from the Alexandria database.

abc: 7.7785 7.7785 4.4475
angles: 90.00 90.00 90.00
Closest atoms and distances in Å follow each position.
Space group P4/mbm (No. 127)
Unique sites:
Ag1 0.1336 0.3664 0.0000 x4  1 Ag 2.94, 2 Te 3.03, 4 Bi 3.10
Bi1 0.1443 0.6443 0.5000 x4  6 Ag 3.10-3.30, 1 Bi 3.17
Te1 0.0000 0.0000 0.0000 x2  4 Ag 3.03

- Total moment: 0.0000 μB per atom
- Formation energy (no corrections): 0.144 eV per atom
- DOS(E_F): 0.41 states/eV per atom

[6]
The following is a GGA-PBE calculation of Ag2Bi2Te after structural relaxation, from the Alexandria database.

abc: 9.1957 9.1957 3.1984
angles: 90.00 90.00 90.00
Closest atoms and distances in Å follow each position.
Space group P4/mbm (No. 127)
Unique sites:
Ag1 0.1088 0.3912 0.0000 x4  1 Ag 2.83, 2 Bi 3.08
Bi1 0.1890 0.6890 0.5000 x4  6 Ag 3.08-3.26, 2 Bi 3.20, 2 Te 3.35
Te1 0.0000 0.0000 0.5000 x2  2 Te 3.20, 4 Bi 3.35

- Total moment: 0.0000 μB per atom
- Formation energy (no corrections): 0.118 eV per atom
- DOS(E_F): 0.39 states/eV per atom

[7]
The following is a GGA-PBE calculation of Ag6BiTe4 after structural relaxation, from the Alexandria database.

abc: 10.0390 10.4008 7.4783
angles: 90.00 132.02 90.00
Closest atoms and distances in Å follow each position.
Space group Cm (No. 8)
Unique sites:
Ag1 0.0000 0.0000 0.0000 x2  4 Te 2.87-3.21, 1 Bi 3.01, 3 Ag 3.01-3.05
Ag2 0.0959 0.3562 0.5419 x4  4 Te 2.93-3.06, 4 Ag 2.96-3.11
Ag3 0.1846 0.5000 0.9753 x2  4 Te 2.86-2.93, 5 Ag 3.05-3.11
Ag4 0.4648 0.2499 0.7678 x4  4 Te 2.92-3.19, 4 Ag 2.96-3.07
Bi1 0.1912 0.0000 0.8178 x2  3 Ag 3.01-3.31, 3 Te 3.02-3.12
Te1 0.2864 0.5000 0.4352 x2  5 Ag 2.86-3.19, 1 Bi 3.02
Te2 0.3216 0.0000 0.4997 x2  6 Ag 2.87-3.00
Te3 0.3730 0.2633 0.0641 x4  6 Ag 2.90-3.09, 1 Bi 3.12

- Total moment: 0.0000 μB per atom
- Formation energy (no corrections): -0.005 eV per atom
- DOS(E_F): 0.32 states/eV per atom

[8]
The following is a GGA-PBE calculation of AgBi2Te4 after structural relaxation, from the Alexandria database.

abc: 7.9414 6.4841 9.8910
angles: 90.00 100.85 90.00
Closest atoms and distances in Å follow each position.
Space group P2_1/m (No. 11)
Unique sites:
Ag1 0.1945 0.2500 0.3368 x2  3 Te 2.70-2.78
Bi1 0.2522 0.7500 0.0230 x2  3 Te 3.00-3.11
Bi2 0.3437 0.7500 0.6146 x2  2 Te 2.94-3.03
Te1 0.0610 0.0137 0.7949 x4  1 Ag 2.78, 1 Bi 3.00, 1 Te 3.06
Te2 0.4082 0.2500 0.5839 x2  1 Ag 2.70
Te3 0.4269 0.2500 0.1148 x2  2 Bi 2.94-3.11, 1 Ag 3.12

- Total moment: 0.0000 μB per atom
- Formation energy (no corrections): -0.052 eV per atom
- DOS(E_F): 0.18 states/eV per atom

> What is the DOS(E_F) in the fifth record?

0.41 states/eV per atom